The following is a DFT calculation (PBE) of CsSb2Se2 after structural relaxation.

Cell and atoms, written as POSCAR:
```
CsSb2Se2
1.0
9.596 0.000 0.000
0.000 9.596 0.000
0.000 0.000 3.856
Cs Sb Se
2 4 4
direct
0.000 0.000 0.000 Cs
0.500 0.500 0.000 Cs
0.126 0.374 0.000 Sb
0.374 0.874 0.000 Sb
0.626 0.126 0.000 Sb
0.874 0.626 0.000 Sb
0.237 0.737 0.500 Se
0.263 0.237 0.500 Se
0.737 0.763 0.500 Se
0.763 0.263 0.500 Se
```

Values from the calculation:
symmetry = P4/mbm (127)
volume = 355.1 Å³ per cell
total magnetic moment = 0.0 μB/f.u.
energy above the most stable polymorph in this dataset = 0.088 eV per atom


The following is a DFT calculation (PBE) of Cs3SbSe3 after structural relaxation.

Cell and atoms, written as POSCAR:
```
Cs3SbSe3
1.0
14.240 0.000 0.000
0.000 5.585 0.000
0.000 0.000 15.420
Cs Sb Se
12 4 12
direct
0.071 0.250 0.103 Cs
0.140 0.750 0.486 Cs
0.232 0.750 0.792 Cs
0.268 0.250 0.292 Cs
0.360 0.250 0.986 Cs
0.429 0.750 0.603 Cs
0.571 0.250 0.397 Cs
0.640 0.750 0.014 Cs
0.732 0.750 0.708 Cs
0.768 0.250 0.208 Cs
0.860 0.250 0.514 Cs
0.929 0.750 0.897 Cs
0.053 0.250 0.701 Sb
0.447 0.750 0.201 Sb
0.553 0.250 0.799 Sb
0.947 0.750 0.299 Sb
0.005 0.250 0.327 Se
0.094 0.250 0.867 Se
0.219 0.250 0.628 Se
0.281 0.750 0.128 Se
0.406 0.750 0.367 Se
0.495 0.750 0.827 Se
0.505 0.250 0.173 Se
0.594 0.250 0.633 Se
0.719 0.250 0.872 Se
0.781 0.750 0.372 Se
0.906 0.750 0.133 Se
0.995 0.750 0.673 Se
```

Values from the calculation:
symmetry = Pnma (62)
volume = 1226.3 Å³ per cell
total magnetic moment = 0.0 μB/f.u.


The following is a DFT calculation (PBE) of Cs2SbSe after structural relaxation.

Cell and atoms, written as POSCAR:
```
Cs2SbSe
1.0
8.847 0.000 0.000
0.000 8.847 0.000
0.000 0.000 8.847
Cs Sb Se
8 4 4
direct
0.250 0.250 0.250 Cs
0.250 0.250 0.750 Cs
0.250 0.750 0.250 Cs
0.250 0.750 0.750 Cs
0.750 0.250 0.250 Cs
0.750 0.250 0.750 Cs
0.750 0.750 0.250 Cs
0.750 0.750 0.750 Cs
0.000 0.000 0.000 Sb
0.000 0.500 0.500 Sb
0.500 0.000 0.500 Sb
0.500 0.500 0.000 Sb
0.000 0.000 0.500 Se
0.000 0.500 0.000 Se
0.500 0.000 0.000 Se
0.500 0.500 0.500 Se
```

Values from the calculation:
symmetry = Fm-3m (225)
volume = 692.4 Å³ per cell
total magnetic moment = 3.0 μB/f.u.
energy above the most stable polymorph in this dataset = 0.248 eV per atom


The following is a DFT calculation (PBE) of CsSb3Se after structural relaxation.

Cell and atoms, written as POSCAR:
```
CsSb3Se
1.0
5.661 0.000 0.000
0.000 5.661 0.000
0.000 0.000 5.661
Cs Sb Se
1 3 1
direct
0.000 0.000 0.000 Cs
0.000 0.500 0.500 Sb
0.500 0.000 0.500 Sb
0.500 0.500 0.000 Sb
0.500 0.500 0.500 Se
```

Values from the calculation:
symmetry = Pm-3m (221)
volume = 181.4 Å³ per cell
total magnetic moment = 0.0 μB/f.u.
energy above the most stable polymorph in this dataset = 0.000 eV per atom


The following is a DFT calculation (PBE) of CsSb4Se6 after structural relaxation.

Cell and atoms, written as POSCAR:
```
CsSb4Se6
1.0
2.192 -6.943 0.000
2.192 6.943 0.000
0.000 0.000 22.013
Cs Sb Se
2 8 12
direct
0.158 0.842 0.750 Cs
0.842 0.158 0.250 Cs
0.089 0.911 0.132 Sb
0.089 0.911 0.368 Sb
0.363 0.637 0.037 Sb
0.363 0.637 0.463 Sb
0.637 0.363 0.537 Sb
0.637 0.363 0.963 Sb
0.911 0.089 0.632 Sb
0.911 0.089 0.868 Sb
0.000 0.000 0.000 Se
0.000 0.000 0.500 Se
0.145 0.855 0.250 Se
0.256 0.744 0.580 Se
0.256 0.744 0.920 Se
0.469 0.531 0.147 Se
0.469 0.531 0.353 Se
0.531 0.469 0.647 Se
0.531 0.469 0.853 Se
0.744 0.256 0.080 Se
0.744 0.256 0.420 Se
0.855 0.145 0.750 Se
```

Values from the calculation:
symmetry = Cmcm (63)
volume = 670.0 Å³ per cell
total magnetic moment = 0.0 μB/f.u.


The following is a DFT calculation (PBE) of CsSb2Se4 after structural relaxation.

Cell and atoms, written as POSCAR:
```
CsSb2Se4
1.0
2.107 -6.863 0.000
2.107 6.863 0.000
0.000 0.000 15.058
Cs Sb Se
2 4 8
direct
0.096 0.904 0.750 Cs
0.904 0.096 0.250 Cs
0.362 0.638 0.566 Sb
0.362 0.638 0.934 Sb
0.638 0.362 0.066 Sb
0.638 0.362 0.434 Sb
0.000 0.000 0.000 Se
0.000 0.000 0.500 Se
0.269 0.731 0.098 Se
0.269 0.731 0.402 Se
0.387 0.613 0.750 Se
0.613 0.387 0.250 Se
0.731 0.269 0.598 Se
0.731 0.269 0.902 Se
```

Values from the calculation:
symmetry = Cmcm (63)
volume = 435.4 Å³ per cell
total magnetic moment = 0.0 μB/f.u.


The following is a DFT calculation (PBE) of Cs3Sb5Se9 after structural relaxation.

Cell and atoms, written as POSCAR:
```
Cs3Sb5Se9
1.0
4.863 -13.281 0.000
4.863 13.281 0.000
-2.786 0.000 9.408
Cs Sb Se
6 10 18
direct
0.056 0.489 0.740 Cs
0.082 0.918 0.000 Cs
0.489 0.056 0.740 Cs
0.511 0.944 0.260 Cs
0.918 0.082 0.000 Cs
0.944 0.511 0.260 Cs
0.075 0.925 0.500 Sb
0.219 0.463 0.340 Sb
0.378 0.378 0.622 Sb
0.425 0.575 0.000 Sb
0.463 0.219 0.340 Sb
0.537 0.781 0.660 Sb
0.575 0.425 0.000 Sb
0.622 0.622 0.378 Sb
0.781 0.537 0.660 Sb
0.925 0.075 0.500 Sb
0.062 0.750 0.656 Se
0.134 0.134 0.376 Se
0.185 0.501 0.097 Se
0.193 0.345 0.731 Se
0.250 0.938 0.344 Se
0.307 0.693 0.500 Se
0.345 0.193 0.731 Se
0.372 0.372 0.127 Se
0.499 0.815 0.903 Se
0.501 0.185 0.097 Se
0.628 0.628 0.873 Se
0.655 0.807 0.269 Se
0.693 0.307 0.500 Se
0.750 0.062 0.656 Se
0.807 0.655 0.269 Se
0.815 0.499 0.903 Se
0.866 0.866 0.624 Se
0.938 0.250 0.344 Se
```

Values from the calculation:
symmetry = C2/m (12)
volume = 1215.4 Å³ per cell
total magnetic moment = 0.0 μB/f.u.


The following is a DFT calculation (PBE) of Cs2SbSe4 after structural relaxation.

Cell and atoms, written as POSCAR:
```
Cs2SbSe4
1.0
8.138 0.000 0.000
0.000 4.064 0.000
-2.717 0.000 8.213
Cs Sb Se
2 1 4
direct
0.000 0.000 0.000 Cs
0.408 0.000 0.651 Cs
0.704 0.500 0.326 Sb
0.091 0.500 0.386 Se
0.317 0.500 0.264 Se
0.605 0.000 0.090 Se
0.803 0.000 0.561 Se
```

Values from the calculation:
symmetry = Pm (6)
volume = 271.7 Å³ per cell
total magnetic moment = 0.0 μB/f.u.
energy above the most stable polymorph in this dataset = 0.055 eV per atom


Number 1: raw formation energy -5.8 kcal/mol of atoms. Number 2: raw formation energy -21.7 kcal/mol of atoms. Number 3: raw formation energy -5.2 kcal/mol of atoms. Number 4: raw formation energy 6.1 kcal/mol of atoms. Number 5: raw formation energy -8.5 kcal/mol of atoms. Number 6: raw formation energy -9.5 kcal/mol of atoms. Number 7: raw formation energy -13.8 kcal/mol of atoms. Number 8: raw formation energy -12.3 kcal/mol of atoms.